Below is a geometry-optimized Sc2BrCl structure, with properties calculated at the PBE-GGA level.

Cell lengths 3.4336, 3.4336, 8.6169 Å; angles 90.00, 90.00, 90.00 degrees
With the nearest neighbours (Å) after each atom.
Space group P4mm (No. 99)
Asymmetric unit:
Sc  0.0000  0.0000  0.0000 [1 per cell]  4 Cl 2.74
Sc  0.5000  0.5000  0.2506 [1 per cell]  4 Br 2.88
Br  0.0000  0.0000  0.4313 [1 per cell]  4 Sc 2.88
Cl  0.5000  0.5000  0.8524 [1 per cell]  4 Sc 2.74

E_form (uncorrected): -1.1998 eV per atom
Offset from the most stable computed form: 71.5 meV/atom

---

Below is a geometry-optimized Li5La2Au5 structure, with properties calculated at the PBE-GGA level.

Cell lengths 4.5790, 5.3766, 9.8105 Å; angles 90.00, 90.00, 90.00 degrees
With the nearest neighbours (Å) after each atom.
Space group Pmmm (No. 47)
Asymmetric unit:
Li  0.0000  0.0000  0.0000 [1 per cell]  4 Au 2.83, 4 Li 2.85
Li  0.0000  0.2529  0.2556 [4 per cell]  3 Li 2.66-2.85, 5 Au 2.72-2.80
La  0.5000  0.0000  0.5000 [1 per cell]  10 Au 3.23-3.53, 8 Li 3.58
La  0.5000  0.5000  0.0000 [1 per cell]  6 Au 3.11-3.16
Au  0.0000  0.5000  0.5000 [1 per cell]  4 Li 2.74, 4 Au 2.91
Au  0.5000  0.0000  0.1691 [2 per cell]  6 Li 2.80-2.83, 2 Au 3.06
Au  0.5000  0.5000  0.3174 [2 per cell]  4 Li 2.72, 2 Au 2.91

ΔE_f: -56 kJ per mole of atoms

---

Below is a geometry-optimized VBOs structure, with properties calculated at the PBE-GGA level.

Cell lengths 10.3156, 2.8637, 4.7427 Å; angles 90.00, 97.25, 90.00 degrees
With the nearest neighbours (Å) after each atom.
Space group Cm (No. 8)
Asymmetric unit:
V  0.0000  0.0000  0.0000 [2 per cell]  3 B 2.21-2.26
V  0.1996  0.0000  0.4260 [2 per cell]  3 B 2.18-2.25
B  0.3454  0.0000  0.8013 [2 per cell]  3 Os 2.12-2.15, 3 V 2.18-2.26
B  0.3489  0.5000  0.2922 [2 per cell]  3 Os 2.14-2.15, 3 V 2.21-2.25
Os  0.2096  0.5000  0.9173 [2 per cell]  3 B 2.12-2.14
Os  0.4845  0.0000  0.4984 [2 per cell]  3 B 2.15

Offset from the most stable computed form: 0.0 meV/atom
ΔE_f: -19 kJ per mole of atoms

---

Below is a geometry-optimized Ac2ZnSn structure, with properties calculated at the PBE-GGA level.

Cell lengths 5.5231, 5.5231, 4.2613 Å; angles 90.00, 90.00, 90.00 degrees
With the nearest neighbours (Å) after each atom.
Space group P4/mmm (No. 123)
Asymmetric unit:
Ac  0.0000  0.5000  0.0000 [2 per cell]  4 Sn 3.49, 4 Zn 3.49, 4 Ac 3.91
Zn  0.0000  0.0000  0.5000 [1 per cell]  8 Ac 3.49, 4 Sn 3.91
Sn  0.5000  0.5000  0.5000 [1 per cell]  8 Ac 3.49, 4 Zn 3.91

ΔE_f: -43 kJ per mole of atoms

---

Below is a geometry-optimized BeSbOs2 structure, with properties calculated at the PBE-GGA level.

Cell lengths 3.0676, 3.0676, 6.0881 Å; angles 90.00, 90.00, 90.00 degrees
With the nearest neighbours (Å) after each atom.
Space group P4/mmm (No. 123)
Asymmetric unit:
Be  0.0000  0.0000  0.0000 [1 per cell]  8 Os 2.55
Sb  0.0000  0.0000  0.5000 [1 per cell]  8 Os 2.75, 2 Be 3.04, 4 Sb 3.07
Os  0.5000  0.5000  0.2212 [2 per cell]  4 Be 2.55, 1 Os 2.69, 4 Sb 2.75

E_form (uncorrected): 0.3628 eV per atom
Offset from the most stable computed form: 50.2 meV/atom

---

Below is a geometry-optimized Fe3Co3Rh2 structure, with properties calculated at the PBE-GGA level.

Cell lengths 3.6538, 3.6765, 7.2724 Å; angles 90.00, 90.00, 90.00 degrees
With the nearest neighbours (Å) after each atom.
Space group Pmmm (No. 47)
Asymmetric unit:
Fe  0.0000  0.0000  0.0000 [1 per cell]  4 Rh 2.59, 4 Fe 2.59, 4 Co 2.61
Fe  0.0000  0.0000  0.5000 [1 per cell]  8 Co 2.57-2.59, 4 Rh 2.57
Fe  0.5000  0.5000  0.0000 [1 per cell]  4 Fe 2.59, 4 Rh 2.59, 4 Co 2.60
Co  0.0000  0.5000  0.2539 [2 per cell]  2 Co 2.56, 6 Fe 2.57-2.61, 4 Rh 2.59
Co  0.5000  0.5000  0.5000 [1 per cell]  4 Co 2.56, 4 Rh 2.58, 4 Fe 2.59
Rh  0.5000  0.0000  0.2517 [2 per cell]  6 Fe 2.57-2.59, 6 Co 2.58-2.59

ΔE_f: 4 kJ per mole of atoms

---

| no. | E (eV/atom) |
| --- | --- |
| 1 | -5.2454 |
| 2 | -3.5681 |
| 3 | -9.2056 |
| 4 | -3.8174 |
| 5 | -7.2143 |
| 6 | -7.6388 |